Entry from Alexandria via LeMat-Bulk: a geometry-optimized InHg2Pt structure (PBE).

Cell lengths 4.291, 4.291, 4.598 Å; angles 90.00, 90.00, 96.93 degrees
Fractional coordinates of all 4 atoms:
1 Hg 0.000 0.000 0.000
2 Hg 0.500 0.500 0.000
3 In 0.500 0.000 0.500
4 Pt 0.000 0.500 0.500

Summary:
Energy relative to the elements ... 0.330 eV per formula unit
Space-group type ... No. 65

Entry from Alexandria via LeMat-Bulk: a geometry-optimized In2HgPt structure (PBE).

Cell lengths 3.306, 3.306, 8.328 Å; angles 90.00, 90.00, 89.93 degrees
Fractional coordinates of all 4 atoms:
1 Hg 0.500 0.500 0.750
2 In 0.000 0.000 0.048
3 In 0.000 0.000 0.452
4 Pt 0.500 0.500 0.250

Summary:
Energy relative to the elements ... -0.634 eV per formula unit
Space-group type ... No. 123

Entry from Alexandria via LeMat-Bulk: a geometry-optimized In2HgPt structure (PBE).

Cell lengths 3.947, 3.911, 6.222 Å; angles 70.84, 90.00, 90.00 degrees
Fractional coordinates of all 4 atoms:
1 Hg 0.500 0.554 0.780
2 In 0.000 0.960 0.959
3 In 0.500 0.265 0.340
4 Pt 0.000 0.721 0.420

Summary:
Energy relative to the elements ... -0.633 eV per formula unit
Space-group type ... No. 6

Entry from Alexandria via LeMat-Bulk: a geometry-optimized InHg2Pt structure (PBE).

Cell lengths 5.399, 5.399, 5.399 Å; angles 133.23, 133.23, 68.29 degrees
Fractional coordinates of all 4 atoms:
1 Hg 0.000 0.000 0.000
2 Hg 0.500 0.500 0.000
3 In 0.250 0.750 0.500
4 Pt 0.750 0.250 0.500

Summary:
Energy relative to the elements ... 0.229 eV per formula unit
Space-group type ... No. 139

Entry from Alexandria via LeMat-Bulk: a geometry-optimized In2HgPt structure (PBE).

Cell lengths 9.754, 9.754, 9.754 Å; angles 19.46, 19.46, 19.46 degrees
Fractional coordinates of all 4 atoms:
1 Hg 0.760 0.760 0.760
2 In 0.999 0.999 0.999
3 In 0.238 0.238 0.238
4 Pt 0.503 0.503 0.503

Summary:
Energy relative to the elements ... -0.104 eV per formula unit
Space-group type ... No. 160

Entry from Alexandria via LeMat-Bulk: a geometry-optimized InHgPt2 structure (PBE).

Cell lengths 5.462, 5.462, 4.861 Å; angles 75.84, 75.84, 31.85 degrees
Fractional coordinates of all 4 atoms:
1 Hg 0.481 0.481 0.571
2 In 0.271 0.271 0.179
3 Pt 0.016 0.016 0.057
4 Pt 0.731 0.731 0.694

Summary:
Energy relative to the elements ... -0.641 eV per formula unit
Space-group type ... No. 8

Entry from Alexandria via LeMat-Bulk: a geometry-optimized InHg2Pt structure (PBE).

Cell lengths 3.085, 3.085, 9.178 Å; angles 90.00, 90.00, 90.02 degrees
Fractional coordinates of all 4 atoms:
1 Hg 0.000 0.000 0.964
2 Hg 0.000 0.000 0.536
3 In 0.500 0.500 0.250
4 Pt 0.500 0.500 0.750

Summary:
Energy relative to the elements ... 0.394 eV per formula unit
Space-group type ... No. 123

Entry from Alexandria via LeMat-Bulk: a geometry-optimized InHgPt2 structure (PBE).

Cell lengths 8.922, 8.922, 8.922 Å; angles 20.30, 20.30, 20.30 degrees
Fractional coordinates of all 4 atoms:
1 Hg 0.250 0.250 0.250
2 In 0.750 0.750 0.750
3 Pt 0.004 0.004 0.004
4 Pt 0.496 0.496 0.496

Summary:
Energy relative to the elements ... -0.465 eV per formula unit
Space-group type ... No. 166

Entry from Alexandria via LeMat-Bulk: a geometry-optimized In3HgPt structure (PBE).

Cell lengths 5.224, 5.224, 5.224 Å; angles 90.00, 90.00, 90.00 degrees
Fractional coordinates of all 5 atoms:
1 Hg 0.500 0.500 0.500
2 Pt 0.000 0.000 0.000
3 In 0.000 0.500 0.000
4 In 0.000 0.000 0.500
5 In 0.500 0.000 0.000

Summary:
Energy relative to the elements ... -0.998 eV per formula unit
Space-group type ... No. 221

Entry from Alexandria via LeMat-Bulk: a geometry-optimized InHg2Pt structure (PBE).

Cell lengths 8.935, 8.935, 6.844 Å; angles 49.25, 49.25, 90.00 degrees
Fractional coordinates of all 8 atoms:
1 Hg 0.708 0.125 0.250
2 Hg 0.042 0.625 0.250
3 Hg 0.375 0.292 0.750
4 Hg 0.875 0.958 0.750
5 Pt 0.000 0.000 0.000
6 Pt 0.750 0.250 0.500
7 In 0.500 0.500 0.000
8 In 0.250 0.750 0.500

Summary:
Energy relative to the elements ... 0.036 eV per formula unit
Space-group type ... No. 122

Entry from Alexandria via LeMat-Bulk: a geometry-optimized In2HgPt structure (PBE).

Cell lengths 5.385, 5.385, 5.385 Å; angles 132.05, 132.05, 70.15 degrees
Fractional coordinates of all 4 atoms:
1 Hg 0.750 0.250 0.500
2 In 0.000 0.000 0.000
3 In 0.250 0.750 0.500
4 Pt 0.500 0.500 0.000

Summary:
Energy relative to the elements ... 0.016 eV per formula unit
Space-group type ... No. 119

Entry from Alexandria via LeMat-Bulk: a geometry-optimized In2HgPt structure (PBE).

Cell lengths 4.125, 4.125, 7.269 Å; angles 75.48, 75.48, 57.59 degrees
Fractional coordinates of all 4 atoms:
1 Hg 0.750 0.750 0.750
2 In 0.982 0.982 0.047
3 In 0.518 0.518 0.453
4 Pt 0.250 0.250 0.250

Summary:
Energy relative to the elements ... -0.685 eV per formula unit
Space-group type ... No. 12